# TeRu2Cl

Crystalline TeRu2Cl at its relaxed geometry (PBE, Alexandria).

CIF file:
```
data_TeRu2Cl
_chemical_formula_sum 'Te2 Ru4 Cl2'
_symmetry_space_group_name_H-M 'C m m m'
_symmetry_Int_Tables_number 65
_symmetry_space_group_name_Hall '-C 2 2'
_cell_length_a 3.219
_cell_length_b 5.687
_cell_length_c 8.093
_cell_angle_alpha 90.00
_cell_angle_beta 90.00
_cell_angle_gamma 90.00
loop_
_atom_site_label
_atom_site_fract_x
_atom_site_fract_y
_atom_site_fract_z
Te1 0.000 0.000 0.000
Ru1 0.000 0.500 0.242
Cl1 0.000 0.000 0.500
```

Calculated values
total moment: 0.000 μB/cell
total energy: -5.174 eV/atom
uncorrected formation energy: 0.711 eV/atom

# Ce4RuAu

Crystalline Ce4RuAu at its relaxed geometry (PBE, Alexandria).

CIF file:
```
data_Ce4RuAu
_chemical_formula_sum 'Ce16 Ru4 Au4'
_symmetry_space_group_name_H-M 'C 1 2/c 1'
_symmetry_Int_Tables_number 15
_symmetry_space_group_name_Hall '-C 2yc'
_cell_length_a 8.495
_cell_length_b 12.175
_cell_length_c 5.938
_cell_angle_alpha 90.00
_cell_angle_beta 109.35
_cell_angle_gamma 90.00
loop_
_atom_site_label
_atom_site_fract_x
_atom_site_fract_y
_atom_site_fract_z
Ce1 0.122 0.192 0.078
Ce2 0.215 0.403 0.342
Ru1 0.000 0.003 0.750
Au1 0.000 0.391 0.750
```

Calculated values
total moment: 4.882 μB/cell
total energy: -6.393 eV/atom
energy of formation from the pure elements: -0.35 eV/atom

# TcTeAsI2

Crystalline TcTeAsI2 at its relaxed geometry (PBE, Alexandria).

CIF file:
```
data_TcTeAsI2
_chemical_formula_sum 'Tc1 Te1 As1 I2'
_symmetry_space_group_name_H-M 'P 4/m m m'
_symmetry_Int_Tables_number 123
_symmetry_space_group_name_Hall '-P 4 2'
_cell_length_a 5.523
_cell_length_b 5.523
_cell_length_c 5.716
_cell_angle_alpha 90.00
_cell_angle_beta 90.00
_cell_angle_gamma 90.00
loop_
_atom_site_label
_atom_site_fract_x
_atom_site_fract_y
_atom_site_fract_z
Tc1 0.000 0.000 0.000
Te1 0.500 0.500 0.000
As1 0.500 0.500 0.500
I1 0.000 0.500 0.500
```

Calculated values
total moment: 4.956 μB/cell
total energy: -3.215 eV/atom
uncorrected formation energy: 1.036 eV/atom

# V2HgPd8

Crystalline V2HgPd8 at its relaxed geometry (PBE, Alexandria).

CIF file:
```
data_V2HgPd8
_chemical_formula_sum 'V4 Hg2 Pd16'
_symmetry_space_group_name_H-M 'C 1 2/m 1'
_symmetry_Int_Tables_number 12
_symmetry_space_group_name_Hall '-C 2y'
_cell_length_a 14.182
_cell_length_b 3.948
_cell_length_c 6.324
_cell_angle_alpha 90.00
_cell_angle_beta 105.73
_cell_angle_gamma 90.00
loop_
_atom_site_label
_atom_site_fract_x
_atom_site_fract_y
_atom_site_fract_z
V1 0.225 0.000 0.152
Hg1 0.000 0.500 0.500
Pd1 0.048 0.000 0.222
Pd2 0.102 0.500 0.968
Pd3 0.149 0.000 0.712
Pd4 0.184 0.500 0.416
```

Calculated values
total moment: 4.132 μB/cell
total energy: -5.656 eV/atom
energy of formation from the pure elements: -0.19 eV/atom

# Ti4ReMo4

Crystalline Ti4ReMo4 at its relaxed geometry (PBE, Alexandria).

CIF file:
```
data_Ti4ReMo4
_chemical_formula_sum 'Ti8 Re2 Mo8'
_symmetry_space_group_name_H-M 'I 4/m m m'
_symmetry_Int_Tables_number 139
_symmetry_space_group_name_Hall '-I 4 2'
_cell_length_a 9.508
_cell_length_b 9.508
_cell_length_c 3.149
_cell_angle_alpha 90.00
_cell_angle_beta 90.00
_cell_angle_gamma 90.00
loop_
_atom_site_label
_atom_site_fract_x
_atom_site_fract_y
_atom_site_fract_z
Ti1 0.160 0.160 0.000
Re1 0.000 0.000 0.500
Mo1 0.000 0.337 0.500
```

Calculated values
total moment: 0.000 μB/cell
total energy: -9.895 eV/atom
energy of formation from the pure elements: -0.19 eV/atom

# Tb6ZnSi2

Crystalline Tb6ZnSi2 at its relaxed geometry (PBE, Alexandria).

CIF file:
```
data_Tb6ZnSi2
_chemical_formula_sum 'Tb24 Zn4 Si8'
_symmetry_space_group_name_H-M 'I m m m'
_symmetry_Int_Tables_number 71
_symmetry_space_group_name_Hall '-I 2 2'
_cell_length_a 9.600
_cell_length_b 9.612
_cell_length_c 10.127
_cell_angle_alpha 90.00
_cell_angle_beta 90.00
_cell_angle_gamma 90.00
loop_
_atom_site_label
_atom_site_fract_x
_atom_site_fract_y
_atom_site_fract_z
Tb1 0.000 0.205 0.175
Tb2 0.176 0.233 0.500
Tb3 0.197 0.500 0.250
Zn1 0.000 0.500 0.000
Zn2 0.000 0.500 0.500
Si1 0.000 0.000 0.383
Si2 0.143 0.000 0.000
```

Calculated values
total moment: 0.000 μB/cell
total energy: -4.899 eV/atom
uncorrected formation energy: -0.465 eV/atom